[1]
U3Ga2Si3 | PBE | optimized geometry

Results
The density of states at the Fermi level comes out at 1.520 states/eV/atom. Its energy above the most stable polymorph in this dataset is 11.8 kJ/mol of atoms. The size of the total moment is 0.261 μB/atom.

abc: 7.6473 7.5483 7.3353
angles: 61.82 60.46 57.72
Last column: nearest neighbours and their distance in Å.
Element x y z (fractional)
U: 0.8531 0.4454 0.1469  3 U 2.60-2.62, 2 Si 2.89
U: 0.5546 0.1469 0.4454  3 U 2.60-2.62, 2 Si 2.89
U: 0.6599 0.3401 0.0238  2 U 2.62, 1 Si 2.94
U: 0.9762 0.0238 0.3401  2 U 2.62, 1 Si 2.94
U: 0.1853 0.5154 0.8147  1 U 2.60, 1 Si 2.80
U: 0.4846 0.8147 0.5154  1 U 2.60, 1 Si 2.80
Ga: 0.9949 0.5051 0.5051  4 Si 2.55-2.83
Ga: 0.4949 0.0051 0.0051  4 Si 2.55-2.83
Ga: 0.2586 0.7414 0.0140  3 Si 2.52-2.53
Ga: 0.9860 0.0140 0.7414  3 Si 2.52-2.53
Si: 0.3767 0.6233 0.3337  1 Ga 2.52
Si: 0.6663 0.3337 0.6233  1 Ga 2.52
Si: 0.8541 0.8335 0.1459  2 Ga 2.53, 1 U 2.80
Si: 0.1665 0.1459 0.8335  2 Ga 2.53, 1 U 2.80
Si: 0.2442 0.2558 0.2558  2 Ga 2.55-2.56
Si: 0.7442 0.7558 0.7558  2 Ga 2.55-2.56

[2]
U3Ga2Si3 | PBE | optimized geometry

Results
The density of states at the Fermi level comes out at 1.717 states/eV/atom. Its energy above the most stable polymorph in this dataset is 0.0 kJ/mol of atoms. The size of the total moment is 0.864 μB/atom.

abc: 7.6551 7.6551 7.6551
angles: 120.53 120.53 89.09
Last column: nearest neighbours and their distance in Å.
Element x y z (fractional)
U: 0.1782 0.6782 0.8107  5 Si 2.89-3.03, 3 Ga 3.01-3.09
U: 0.8675 0.3675 0.1893  5 Si 2.89-3.03, 3 Ga 3.01-3.09
U: 0.6782 0.8675 0.5000  5 Si 2.89-3.03, 3 Ga 3.01-3.09
U: 0.3675 0.1782 0.5000  5 Si 2.89-3.03, 3 Ga 3.01-3.09
U: 0.7459 0.7459 0.0000  6 Si 2.73-2.94
U: 0.2459 0.2459 0.0000  6 Si 2.73-2.94
Ga: 0.4742 0.9742 0.7869  3 Si 2.59-2.65
Ga: 0.1873 0.6873 0.2131  3 Si 2.59-2.65
Ga: 0.9742 0.1873 0.5000  3 Si 2.59-2.65
Ga: 0.6873 0.4742 0.5000  3 Si 2.59-2.65
Si: 0.5598 0.0598 0.2092  3 Ga 2.59-2.65
Si: 0.8506 0.3506 0.7908  3 Ga 2.59-2.65
Si: 0.0598 0.8506 0.5000  3 Ga 2.59-2.65
Si: 0.3506 0.5598 0.5000  3 Ga 2.59-2.65
Si: 0.9960 0.9960 0.0000  6 U 2.73-2.89
Si: 0.4960 0.4960 0.0000  6 U 2.73-2.89

[3]
V2GaSi2 | PBE | optimized geometry

Results
The density of states at the Fermi level comes out at 0.833 states/eV/atom. The size of the total moment is 0.103 μB/atom.

abc: 3.4123 3.4123 6.7011
angles: 75.25 75.25 90.00
Last column: nearest neighbours and their distance in Å.
Element x y z (fractional)
Si: 0.7500 0.2500 0.5000  4 Si 2.41, 4 V 2.53
Si: 0.2500 0.7500 0.5000  4 Si 2.41, 4 V 2.53
Ga: 0.0000 0.0000 0.0000  8 V 2.72
V: 0.3996 0.3996 0.2009  1 V 2.51, 4 Si 2.53, 4 Ga 2.72
V: 0.6004 0.6004 0.7991  1 V 2.51, 4 Si 2.53, 4 Ga 2.72

[4]
V5Ga4Si | PBE | optimized geometry

Results
The density of states at the Fermi level comes out at 0.707 states/eV/atom. The size of the total moment is 0.000 μB/atom.

abc: 4.9876 6.1128 6.1128
angles: 80.42 65.92 65.92
Last column: nearest neighbours and their distance in Å.
Element x y z (fractional)
V: 0.9023 0.3854 0.8118  1 Si 2.39, 5 Ga 2.50-2.55
V: 0.2877 0.8118 0.6146  1 Si 2.39, 5 Ga 2.50-2.55
V: 0.7141 0.1882 0.3854  1 Si 2.39, 5 Ga 2.50-2.55
V: 0.0996 0.6146 0.1882  1 Si 2.39, 5 Ga 2.50-2.55
V: 0.5015 0.0000 0.0000  2 Si 2.49, 4 Ga 2.51
Ga: 0.4062 0.3984 0.7910  6 V 2.50-2.55
Ga: 0.8046 0.7910 0.6016  6 V 2.50-2.55
Ga: 0.1972 0.2090 0.3984  6 V 2.50-2.55
Ga: 0.5956 0.6016 0.2090  6 V 2.50-2.55
Si: 0.0015 0.0000 0.0000  6 V 2.39-2.49

[5]
VGaSi3 | PBE | optimized geometry

Results
The density of states at the Fermi level comes out at 0.412 states/eV/atom. The size of the total moment is 0.000 μB/atom.

abc: 4.6130 4.6130 4.6130
angles: 90.00 90.00 90.00
Last column: nearest neighbours and their distance in Å.
Element x y z (fractional)
Si: 0.0000 0.5000 0.0000  2 V 2.31
Si: 0.0000 0.0000 0.5000  2 V 2.31
Si: 0.5000 0.0000 0.0000  2 V 2.31
Ga: 0.5000 0.5000 0.5000  12 Si 3.26
V: 0.0000 0.0000 0.0000  6 Si 2.31

[6]
V4GaSi | PBE | optimized geometry

Results
The density of states at the Fermi level comes out at 0.549 states/eV/atom. The size of the total moment is 0.000 μB/atom.

abc: 6.0792 4.3796 7.7670
angles: 93.58 103.49 124.11
Last column: nearest neighbours and their distance in Å.
Element x y z (fractional)
V: 0.2027 0.9673 0.4207  5 V 2.48-2.62, 2 Si 2.58-2.73, 2 Ga 2.69-2.74
V: 0.0380 0.7933 0.0793  5 V 2.44-2.57, 2 Si 2.61-2.73, 1 Ga 2.66
V: 0.2820 0.5466 0.5793  5 V 2.48-2.62, 2 Si 2.58-2.73, 2 Ga 2.69-2.74
V: 0.4587 0.7139 0.9207  5 V 2.44-2.57, 2 Si 2.61-2.73, 1 Ga 2.66
V: 0.7973 0.0327 0.5793  5 V 2.48-2.62, 2 Si 2.58-2.73, 2 Ga 2.69-2.74
V: 0.7180 0.4534 0.4207  5 V 2.48-2.62, 2 Si 2.58-2.73, 2 Ga 2.69-2.74
V: 0.9620 0.2067 0.9207  5 V 2.44-2.57, 2 Si 2.61-2.73, 1 Ga 2.66
V: 0.5413 0.2861 0.0793  5 V 2.44-2.57, 2 Si 2.61-2.73, 1 Ga 2.66
Ga: 0.3757 0.6257 0.2514  2 Si 2.56, 8 V 2.66-2.74
Ga: 0.6243 0.3743 0.7486  2 Si 2.56, 8 V 2.66-2.74
Si: 0.8744 0.1244 0.2489  2 Ga 2.56, 8 V 2.58-2.73
Si: 0.1256 0.8756 0.7511  2 Ga 2.56, 8 V 2.58-2.73

Going through the records in order, we get energy values of -7.1366 -7.2587 -6.5578 -6.1325 -5.3010 -7.6237 eV per atom.